DFT (PBE) results for an optimized crystal structure of RbAcSm.

abc: 8.844 8.844 8.844
angles: 90.00 90.00 90.00
Space group F-43m (No. 216)
One atom of each set of equivalent atoms:
Rb: 0.000 0.000 0.000
Ac: 0.000 0.000 0.500
Sm: 0.250 0.250 0.750

Values from the calculation:
* total DFT energy (no corrections): -2.206 eV per atom
* spin magnetization: 0.51 μB per atom

***

DFT (PBE) results for an optimized crystal structure of RbAcTa.

abc: 8.131 8.131 8.131
angles: 90.00 90.00 90.00
Space group F-43m (No. 216)
One atom of each set of equivalent atoms:
Rb: 0.000 0.000 0.000
Ac: 0.250 0.250 0.250
Ta: 0.000 0.000 0.500

Values from the calculation:
* total DFT energy (no corrections): -3.638 eV per atom
* spin magnetization: 1.49 μB per atom

***

DFT (PBE) results for an optimized crystal structure of RbAcTc.

abc: 7.549 7.549 7.549
angles: 90.00 90.00 90.00
Space group F-43m (No. 216)
One atom of each set of equivalent atoms:
Rb: 0.000 0.000 0.000
Ac: 0.250 0.250 0.250
Tc: 0.000 0.000 0.500

Values from the calculation:
* total DFT energy (no corrections): -3.480 eV per atom
* spin magnetization: 0.45 μB per atom

***

DFT (PBE) results for an optimized crystal structure of RbAcTh.

abc: 8.726 8.726 8.726
angles: 90.00 90.00 90.00
Space group F-43m (No. 216)
One atom of each set of equivalent atoms:
Rb: 0.000 0.000 0.000
Ac: 0.000 0.000 0.500
Th: 0.250 0.250 0.750

Values from the calculation:
* total DFT energy (no corrections): -2.782 eV per atom
* spin magnetization: 0.62 μB per atom

***

- Among the records above, which one has the lowest spin magnetization?
  RbAcTc